Record 1
The following is a PBE-GGA calculation of a geometry-optimized Y2MnBr structure, from the Alexandria database.

Summary:
Magnetization (Bohr magnetons per cell): 2.085
ΔE_f (raw) (meV per atom): -319
Energy above the most stable polymorph in this dataset (meV per atom): 98.5

abc: 3.862 3.862 8.474
angles: 77.74 77.74 56.56
Last column: magnetic moment on the atom in μB.
Element x y z (fractional)
Mn (0.250, 0.250, 0.250)  2.73
Y (0.482, 0.482, 0.468)  -0.21
Y (0.018, 0.018, 0.032)  -0.21
Br (0.750, 0.750, 0.750)  0.00

Record 2
The following is a PBE-GGA calculation of a geometry-optimized CeGaCo2C structure, from the Alexandria database.

Summary:
Magnetization (Bohr magnetons per cell): 0.065
Energy of formation (eV per formula unit): -1.65

abc: 3.902 5.744 6.824
angles: 90.00 90.00 109.86
Element x y z (fractional)
Co (0.159, 0.318, 0.943)
Co (0.841, 0.682, 0.443)
Co (0.841, 0.682, 0.057)
Co (0.159, 0.318, 0.557)
Ga (0.722, 0.444, 0.750)
Ga (0.278, 0.556, 0.250)
C (0.000, 0.000, 0.500)
C (0.000, 0.000, 0.000)
Ce (0.560, 0.120, 0.250)
Ce (0.440, 0.880, 0.750)

Record 3
The following is a PBE-GGA calculation of a geometry-optimized HfSi2Ir structure, from the Alexandria database.

Summary:
Magnetization (Bohr magnetons per cell): 0.000
ΔE_f (raw) (meV per atom): -261

abc: 4.023 4.023 9.138
angles: 77.28 77.28 90.00
Element x y z (fractional)
Ir (0.000, 0.000, 0.000)
Ir (0.750, 0.250, 0.500)
Hf (0.500, 0.500, 0.000)
Hf (0.250, 0.750, 0.500)
Si (0.375, 0.305, 0.750)
Si (0.875, 0.945, 0.750)
Si (0.055, 0.625, 0.250)
Si (0.695, 0.125, 0.250)

Record 4
The following is a PBE-GGA calculation of a geometry-optimized Pr3YSn2 structure, from the Alexandria database.

Summary:
Magnetization (Bohr magnetons per cell): 0.508
Energy of formation (eV per formula unit): -3.11

abc: 4.640 10.465 9.992
angles: 124.60 90.00 102.81
Element x y z (fractional)
Sn (0.751, 0.502, 0.227)
Sn (0.249, 0.498, 0.773)
Sn (0.497, 0.995, 0.850)
Sn (0.503, 0.005, 0.150)
Pr (0.349, 0.697, 0.178)
Pr (0.690, 0.381, 0.490)
Pr (0.310, 0.619, 0.510)
Pr (0.051, 0.102, 0.414)
Pr (0.949, 0.898, 0.586)
Pr (0.651, 0.303, 0.822)
Y (0.887, 0.773, 0.892)
Y (0.113, 0.227, 0.108)

Record 5
The following is a PBE-GGA calculation of a geometry-optimized NdDy12Er5 structure, from the Alexandria database.

Summary:
Magnetization (Bohr magnetons per cell): 0.000
Energy of formation (eV per formula unit): 0.36

abc: 15.003 10.617 5.001
angles: 89.99 89.99 45.04
Element x y z (fractional)
Dy (0.334, 0.000, 0.000)
Dy (0.500, 0.333, 0.500)
Dy (0.666, 0.000, 0.000)
Dy (0.832, 0.000, 0.500)
Dy (0.168, 0.333, 0.500)
Dy (0.335, 0.665, 0.000)
Dy (0.168, 0.000, 0.500)
Dy (0.500, 0.667, 0.500)
Dy (0.000, 0.665, 0.000)
Dy (0.000, 0.335, 0.000)
Dy (0.832, 0.667, 0.500)
Dy (0.665, 0.335, 0.000)
Nd (0.000, 0.000, 0.000)
Er (0.333, 0.333, 0.000)
Er (0.500, 0.000, 0.500)
Er (0.168, 0.664, 0.500)
Er (0.667, 0.667, 0.000)
Er (0.832, 0.336, 0.500)

Record 6
The following is a PBE-GGA calculation of a geometry-optimized TeW2Cl structure, from the Alexandria database.

Summary:
Magnetization (Bohr magnetons per cell): 0.666
ΔE_f (raw) (meV per atom): 1170
Energy above the most stable polymorph in this dataset (meV per atom): 1084.2

abc: 4.721 4.721 4.721
angles: 60.00 60.00 60.00
Last column: magnetic moment on the atom in μB.
Element x y z (fractional)
Cl (0.500, 0.500, 0.500)  0.09
W (0.250, 0.250, 0.250)  -0.14
W (0.000, 0.000, 0.000)  0.56
Te (0.750, 0.750, 0.750)  0.01

Record 7
The following is a PBE-GGA calculation of a geometry-optimized DyErTm2 structure, from the Alexandria database.

Summary:
Magnetization (Bohr magnetons per cell): 0.000
Energy above the most stable polymorph in this dataset (meV per atom): 22.5
Energy of formation (eV per formula unit): 0.10

abc: 4.945 4.951 4.951
angles: 90.00 90.00 90.00
Element x y z (fractional)
Er (0.500, 0.000, 0.000)
Tm (0.000, 0.000, 0.500)
Tm (0.000, 0.500, 0.000)
Dy (0.500, 0.500, 0.500)

Record 8
The following is a PBE-GGA calculation of a geometry-optimized ZrCdAs3 structure, from the Alexandria database.

Summary:
Magnetization (Bohr magnetons per cell): 0.000
Energy above the most stable polymorph in this dataset (meV per atom): 0.0
Energy of formation (eV per formula unit): 0.99

abc: 5.198 5.198 5.198
angles: 90.00 90.00 90.00
Element x y z (fractional)
As (0.000, 0.500, 0.000)
As (0.500, 0.000, 0.000)
As (0.000, 0.000, 0.500)
Cd (0.500, 0.500, 0.500)
Zr (0.000, 0.000, 0.000)

Record 9
The following is a PBE-GGA calculation of a geometry-optimized KRbP3 structure, from the Alexandria database.

Summary:
Magnetization (Bohr magnetons per cell): 0.000
Energy above the most stable polymorph in this dataset (meV per atom): 146.8
Energy of formation (eV per formula unit): 7.26

abc: 5.685 5.685 5.685
angles: 90.00 90.00 90.00
Element x y z (fractional)
K (0.500, 0.500, 0.500)
Rb (0.000, 0.000, 0.000)
P (0.500, 0.000, 0.000)
P (0.000, 0.500, 0.000)
P (0.000, 0.000, 0.500)

Record 10
The following is a PBE-GGA calculation of a geometry-optimized RbNbAlCr2 structure, from the Alexandria database.

Summary:
Magnetization (Bohr magnetons per cell): 3.743
Energy of formation (eV per formula unit): 9.34

abc: 4.963 5.691 4.963
angles: 90.00 90.00 90.00
Last column: magnetic moment on the atom in μB.
Element x y z (fractional)
Cr (0.000, 0.000, 0.500)  3.66
Cr (0.500, 0.000, 0.000)  3.40
Rb (0.000, 0.500, 0.000)  -0.06
Al (0.000, 0.000, 0.000)  -0.06
Nb (0.500, 0.500, 0.500)  -2.90

Record 11
The following is a PBE-GGA calculation of a geometry-optimized MgNi2AgH structure, from the Alexandria database.

Summary:
Magnetization (Bohr magnetons per cell): 0.000
Energy above the most stable polymorph in this dataset (meV per atom): 0.0

abc: 3.747 3.747 4.090
angles: 90.00 90.00 90.00
Element x y z (fractional)
Ag (0.500, 0.500, 0.500)
Ni (0.000, 0.500, 0.000)
Ni (0.500, 0.000, 0.000)
H (0.000, 0.000, 0.000)
Mg (0.000, 0.000, 0.500)

Record 12
The following is a PBE-GGA calculation of a geometry-optimized KIrOs structure, from the Alexandria database.

Summary:
Magnetization (Bohr magnetons per cell): 0.645
Energy above the most stable polymorph in this dataset (meV per atom): 580.2
Energy of formation (eV per formula unit): 3.14

abc: 8.399 8.176 2.773
angles: 84.95 75.85 19.20
Last column: magnetic moment on the atom in μB.
Element x y z (fractional)
K (0.335, 0.335, 0.665)  0.01
Os (0.651, 0.651, 0.349)  0.46
Ir (0.014, 0.014, 0.986)  0.12